Entry 1
First-principles (PBE-GGA) data for a relaxed HfNiBr2 crystal, as listed in Alexandria.

abc: 6.1240 6.1240 9.9832
angles: 90.00 90.00 90.00
Last column: nearest neighbours and their distance in Å.
Atoms (fractional coordinates):
Hf 0.0000 0.0000 0.0000  4 Br 2.67
Hf 0.0000 0.5000 0.2500  4 Br 2.67
Hf 0.5000 0.0000 0.7500  4 Br 2.67
Hf 0.5000 0.5000 0.5000  4 Br 2.67
Ni 0.0000 0.0000 0.5000  4 Br 2.35
Ni 0.0000 0.5000 0.7500  4 Br 2.35
Ni 0.5000 0.0000 0.2500  4 Br 2.35
Ni 0.5000 0.5000 0.0000  4 Br 2.35
Br 0.2070 0.2500 0.6250  2 Ni 2.35
Br 0.2500 0.7070 0.8750  2 Ni 2.35
Br 0.2500 0.7930 0.3750  2 Ni 2.35
Br 0.2930 0.2500 0.1250  2 Ni 2.35
Br 0.7070 0.7500 0.1250  2 Ni 2.35
Br 0.7500 0.2070 0.3750  2 Ni 2.35
Br 0.7500 0.2930 0.8750  2 Ni 2.35
Br 0.7930 0.7500 0.6250  2 Ni 2.35

Computed properties:
magnetization = 0.38 μB/atom
N(E_F) = 20.9 states/eV/cell


Entry 2
First-principles (PBE-GGA) data for a relaxed HfNiBr2 crystal, as listed in Alexandria.

abc: 6.6229 6.6229 6.6229
angles: 90.00 90.00 90.00
Last column: nearest neighbours and their distance in Å.
Atoms (fractional coordinates):
Hf 0.0000 0.0000 0.0000  8 Br 2.87
Hf 0.0000 0.5000 0.5000  8 Br 2.87
Hf 0.5000 0.0000 0.5000  8 Br 2.87
Hf 0.5000 0.5000 0.0000  8 Br 2.87
Ni 0.0000 0.0000 0.5000  8 Br 2.87
Ni 0.0000 0.5000 0.0000  8 Br 2.87
Ni 0.5000 0.0000 0.0000  8 Br 2.87
Ni 0.5000 0.5000 0.5000  8 Br 2.87
Br 0.2500 0.2500 0.2500  4 Hf 2.87, 4 Ni 2.87
Br 0.2500 0.2500 0.7500  4 Hf 2.87, 4 Ni 2.87
Br 0.2500 0.7500 0.2500  4 Hf 2.87, 4 Ni 2.87
Br 0.2500 0.7500 0.7500  4 Hf 2.87, 4 Ni 2.87
Br 0.7500 0.2500 0.2500  4 Hf 2.87, 4 Ni 2.87
Br 0.7500 0.2500 0.7500  4 Hf 2.87, 4 Ni 2.87
Br 0.7500 0.7500 0.2500  4 Hf 2.87, 4 Ni 2.87
Br 0.7500 0.7500 0.7500  4 Hf 2.87, 4 Ni 2.87

Computed properties:
magnetization = 0.00 μB/atom
N(E_F) = 9.3 states/eV/cell


Most stable structure, least stable structure: entry 2, entry 1.


Entry 1
First-principles (PBE-GGA) data for a relaxed HfBrO2 crystal, as listed in Alexandria.

abc: 3.1868 3.1868 22.9053
angles: 90.00 90.00 120.00
Last column: nearest neighbours and their distance in Å.
Atoms (fractional coordinates):
Hf 0.0000 0.0000 0.0000  2 O 1.92
Hf 0.3333 0.6667 0.6667  2 O 1.92
Hf 0.6667 0.3333 0.3333  2 O 1.92
Br 0.0000 0.0000 0.5000  6 O 2.64
Br 0.3333 0.6667 0.1667  6 O 2.64
Br 0.6667 0.3333 0.8333  6 O 2.64
O 0.0000 0.0000 0.0838  1 Hf 1.92
O 0.0000 0.0000 0.9162  1 Hf 1.92
O 0.3333 0.6667 0.5828  1 Hf 1.92
O 0.3333 0.6667 0.7505  1 Hf 1.92
O 0.6667 0.3333 0.2495  1 Hf 1.92
O 0.6667 0.3333 0.4172  1 Hf 1.92

Computed properties:
magnetization = 0.00 μB/atom
N(E_F) = 15.7 states/eV/cell


Entry 2
First-principles (PBE-GGA) data for a relaxed HfBrO2 crystal, as listed in Alexandria.

abc: 5.8407 5.8407 5.8407
angles: 90.00 90.00 90.00
Last column: nearest neighbours and their distance in Å.
Atoms (fractional coordinates):
Hf 0.0000 0.0000 0.0000  8 O 2.53
Hf 0.0000 0.5000 0.5000  8 O 2.53
Hf 0.5000 0.0000 0.5000  8 O 2.53
Hf 0.5000 0.5000 0.0000  8 O 2.53
Br 0.0000 0.0000 0.5000  8 O 2.53
Br 0.0000 0.5000 0.0000  8 O 2.53
Br 0.5000 0.0000 0.0000  8 O 2.53
Br 0.5000 0.5000 0.5000  8 O 2.53
O 0.2500 0.2500 0.2500  4 Br 2.53, 4 Hf 2.53
O 0.2500 0.2500 0.7500  4 Hf 2.53, 4 Br 2.53
O 0.2500 0.7500 0.2500  4 Hf 2.53, 4 Br 2.53
O 0.2500 0.7500 0.7500  4 Br 2.53, 4 Hf 2.53
O 0.7500 0.2500 0.2500  4 Hf 2.53, 4 Br 2.53
O 0.7500 0.2500 0.7500  4 Br 2.53, 4 Hf 2.53
O 0.7500 0.7500 0.2500  4 Br 2.53, 4 Hf 2.53
O 0.7500 0.7500 0.7500  4 Hf 2.53, 4 Br 2.53

Computed properties:
magnetization = 0.00 μB/atom
N(E_F) = 23.3 states/eV/cell


Entry 3
First-principles (PBE-GGA) data for a relaxed HfBrO2 crystal, as listed in Alexandria.

abc: 3.1856 3.1856 26.0921
angles: 90.00 90.00 120.00
Last column: nearest neighbours and their distance in Å.
Atoms (fractional coordinates):
Hf 0.0000 0.0000 0.0000  6 O 2.09
Hf 0.3333 0.6667 0.6667  6 O 2.09
Hf 0.6667 0.3333 0.3333  6 O 2.09
Br 0.0000 0.0000 0.5000  6 Br 3.19, 2 O 3.36
Br 0.3333 0.6667 0.1667  6 Br 3.19, 2 O 3.36
Br 0.6667 0.3333 0.8333  6 Br 3.19, 2 O 3.36
O 0.0000 0.0000 0.3711  3 Hf 2.09
O 0.0000 0.0000 0.6289  3 Hf 2.09
O 0.3333 0.6667 0.0378  3 Hf 2.09
O 0.3333 0.6667 0.2956  3 Hf 2.09
O 0.6667 0.3333 0.7044  3 Hf 2.09
O 0.6667 0.3333 0.9622  3 Hf 2.09

Computed properties:
magnetization = 0.00 μB/atom
N(E_F) = 4.3 states/eV/cell


Entry 4
First-principles (PBE-GGA) data for a relaxed HfBrO2 crystal, as listed in Alexandria.

abc: 6.3585 6.3585 6.3585
angles: 60.00 60.00 60.00
Last column: nearest neighbours and their distance in Å.
Atoms (fractional coordinates):
Hf 0.1250 0.1250 0.1250  4 O 1.95
Hf 0.8750 0.8750 0.8750  4 O 1.95
Br 0.3750 0.3750 0.3750  12 O 3.73, 4 Br 3.89, 4 Hf 3.89
Br 0.6250 0.6250 0.6250  12 O 3.73, 4 Hf 3.89, 4 Br 3.89
O 0.0000 0.0000 0.0000  2 Hf 1.95
O 0.0000 0.0000 0.5000  2 Hf 1.95
O 0.0000 0.5000 0.0000  2 Hf 1.95
O 0.5000 0.0000 0.0000  2 Hf 1.95

Computed properties:
magnetization = 0.25 μB/atom
N(E_F) = 15.1 states/eV/cell


Most stable structure, least stable structure: entry 3, entry 1.


Entry 1
First-principles (PBE-GGA) data for a relaxed Hf2BrO crystal, as listed in Alexandria.

abc: 5.4839 5.4839 11.1369
angles: 90.00 90.00 90.00
Last column: nearest neighbours and their distance in Å.
Atoms (fractional coordinates):
Hf 0.1418 0.2500 0.1250  2 O 2.10
Hf 0.2500 0.6418 0.3750  2 O 2.10
Hf 0.2500 0.8582 0.8750  2 O 2.10
Hf 0.3582 0.2500 0.6250  2 O 2.10
Hf 0.6418 0.7500 0.6250  2 O 2.10
Hf 0.7500 0.1418 0.8750  2 O 2.10
Hf 0.7500 0.3582 0.3750  2 O 2.10
Hf 0.8582 0.7500 0.1250  2 O 2.10
Br 0.0000 0.0000 0.5000  4 Hf 2.77
Br 0.0000 0.5000 0.7500  4 Hf 2.77
Br 0.5000 0.0000 0.2500  4 Hf 2.77
Br 0.5000 0.5000 0.0000  4 Hf 2.77
O 0.0000 0.0000 0.0000  4 Hf 2.10
O 0.0000 0.5000 0.2500  4 Hf 2.10
O 0.5000 0.0000 0.7500  4 Hf 2.10
O 0.5000 0.5000 0.5000  4 Hf 2.10

Computed properties:
magnetization = 0.00 μB/atom
N(E_F) = 4.9 states/eV/cell


Entry 2
First-principles (PBE-GGA) data for a relaxed Hf2BrO crystal, as listed in Alexandria.

abc: 6.3404 6.3404 6.3404
angles: 90.00 90.00 90.00
Last column: nearest neighbours and their distance in Å.
Atoms (fractional coordinates):
Hf 0.2500 0.2500 0.2500  4 O 2.75, 4 Br 2.75
Hf 0.2500 0.2500 0.7500  4 Br 2.75, 4 O 2.75
Hf 0.2500 0.7500 0.2500  4 Br 2.75, 4 O 2.75
Hf 0.2500 0.7500 0.7500  4 O 2.75, 4 Br 2.75
Hf 0.7500 0.2500 0.2500  4 Br 2.75, 4 O 2.75
Hf 0.7500 0.2500 0.7500  4 O 2.75, 4 Br 2.75
Hf 0.7500 0.7500 0.2500  4 O 2.75, 4 Br 2.75
Hf 0.7500 0.7500 0.7500  4 Br 2.75, 4 O 2.75
Br 0.0000 0.0000 0.0000  8 Hf 2.75
Br 0.0000 0.5000 0.5000  8 Hf 2.75
Br 0.5000 0.0000 0.5000  8 Hf 2.75
Br 0.5000 0.5000 0.0000  8 Hf 2.75
O 0.0000 0.0000 0.5000  8 Hf 2.75
O 0.0000 0.5000 0.0000  8 Hf 2.75
O 0.5000 0.0000 0.0000  8 Hf 2.75
O 0.5000 0.5000 0.5000  8 Hf 2.75

Computed properties:
magnetization = 0.00 μB/atom
N(E_F) = 22.2 states/eV/cell


Most stable structure, least stable structure: entry 1, entry 2.


Entry 1
First-principles (PBE-GGA) data for a relaxed HfPBrO2 crystal, as listed in Alexandria.

abc: 3.9907 3.9907 5.7886
angles: 90.00 90.00 90.00
Last column: nearest neighbours and their distance in Å.
Atoms (fractional coordinates):
Hf 0.0000 0.0000 0.0000  4 O 2.00
P 0.0000 0.0000 0.5000  4 Br 2.82, 2 Hf 2.89
Br 0.5000 0.5000 0.5000  4 P 2.82
O 0.0000 0.5000 0.0000  2 Hf 2.00
O 0.5000 0.0000 0.0000  2 Hf 2.00

Computed properties:
magnetization = 0.04 μB/atom
N(E_F) = 3.3 states/eV/cell


Entry 2
First-principles (PBE-GGA) data for a relaxed HfPBrO2 crystal, as listed in Alexandria.

abc: 3.9531 3.9531 5.0148
angles: 90.00 90.00 90.00
Last column: nearest neighbours and their distance in Å.
Atoms (fractional coordinates):
Hf 0.0000 0.0000 0.0000  4 P 2.80
P 0.5000 0.5000 0.0000  2 Br 2.51, 4 Hf 2.80
Br 0.5000 0.5000 0.5000  4 O 1.98
O 0.0000 0.5000 0.5000  2 Br 1.98
O 0.5000 0.0000 0.5000  2 Br 1.98

Computed properties:
magnetization = 0.00 μB/atom
N(E_F) = 2.2 states/eV/cell


Most stable structure, least stable structure: entry 1, entry 2.


Entry 1
First-principles (PBE-GGA) data for a relaxed HfOs2Br crystal, as listed in Alexandria.

abc: 6.5166 6.5166 6.5166
angles: 90.00 90.00 90.00
Last column: nearest neighbours and their distance in Å.
Atoms (fractional coordinates):
Hf 0.0000 0.0000 0.0000  8 Os 2.82
Hf 0.0000 0.5000 0.5000  8 Os 2.82
Hf 0.5000 0.0000 0.5000  8 Os 2.82
Hf 0.5000 0.5000 0.0000  8 Os 2.82
Os 0.2500 0.2500 0.2500  4 Hf 2.82, 4 Br 2.82
Os 0.2500 0.2500 0.7500  4 Hf 2.82, 4 Br 2.82
Os 0.2500 0.7500 0.2500  4 Hf 2.82, 4 Br 2.82
Os 0.2500 0.7500 0.7500  4 Hf 2.82, 4 Br 2.82
Os 0.7500 0.2500 0.2500  4 Hf 2.82, 4 Br 2.82
Os 0.7500 0.2500 0.7500  4 Hf 2.82, 4 Br 2.82
Os 0.7500 0.7500 0.2500  4 Hf 2.82, 4 Br 2.82
Os 0.7500 0.7500 0.7500  4 Hf 2.82, 4 Br 2.82
Br 0.0000 0.0000 0.5000  8 Os 2.82
Br 0.0000 0.5000 0.0000  8 Os 2.82
Br 0.5000 0.0000 0.0000  8 Os 2.82
Br 0.5000 0.5000 0.5000  8 Os 2.82

Computed properties:
magnetization = 0.00 μB/atom
N(E_F) = 31.8 states/eV/cell


Entry 2
First-principles (PBE-GGA) data for a relaxed HfOs2Br crystal, as listed in Alexandria.

abc: 5.5441 5.5441 12.3215
angles: 90.00 90.00 90.00
Last column: nearest neighbours and their distance in Å.
Atoms (fractional coordinates):
Hf 0.0000 0.0000 0.0000  4 Os 2.61
Hf 0.0000 0.5000 0.2500  4 Os 2.61
Hf 0.5000 0.0000 0.7500  4 Os 2.61
Hf 0.5000 0.5000 0.5000  4 Os 2.61
Os 0.2127 0.2500 0.6250  2 Br 2.38, 2 Hf 2.61
Os 0.2500 0.7127 0.8750  2 Br 2.38, 2 Hf 2.61
Os 0.2500 0.7873 0.3750  2 Br 2.38, 2 Hf 2.61
Os 0.2873 0.2500 0.1250  2 Br 2.38, 2 Hf 2.61
Os 0.7127 0.7500 0.1250  2 Br 2.38, 2 Hf 2.61
Os 0.7500 0.2127 0.3750  2 Br 2.38, 2 Hf 2.61
Os 0.7500 0.2873 0.8750  2 Br 2.38, 2 Hf 2.61
Os 0.7873 0.7500 0.6250  2 Br 2.38, 2 Hf 2.61
Br 0.0000 0.0000 0.5000  4 Os 2.38
Br 0.0000 0.5000 0.7500  4 Os 2.38
Br 0.5000 0.0000 0.2500  4 Os 2.38
Br 0.5000 0.5000 0.0000  4 Os 2.38

Computed properties:
magnetization = 0.00 μB/atom
N(E_F) = 11.9 states/eV/cell


Most stable structure, least stable structure: entry 1, entry 2.


Entry 1
First-principles (PBE-GGA) data for a relaxed HfPBr2 crystal, as listed in Alexandria.

abc: 9.8327 9.8327 5.0068
angles: 90.00 90.00 90.00
Last column: nearest neighbours and their distance in Å.
Atoms (fractional coordinates):
Hf 0.0000 0.0000 0.0000  2 P 2.50, 4 Br 2.72
Hf 0.0000 0.5000 0.2500  2 P 2.50, 4 Br 2.72
Hf 0.5000 0.0000 0.7500  2 P 2.50, 4 Br 2.72
Hf 0.5000 0.5000 0.5000  2 P 2.50, 4 Br 2.72
P 0.0000 0.0000 0.5000  2 Hf 2.50
P 0.0000 0.5000 0.7500  2 Hf 2.50
P 0.5000 0.0000 0.2500  2 Hf 2.50
P 0.5000 0.5000 0.0000  2 Hf 2.50
Br 0.1008 0.2500 0.1250  2 Hf 2.72
Br 0.2500 0.6008 0.3750  2 Hf 2.72
Br 0.2500 0.8992 0.8750  2 Hf 2.72
Br 0.3992 0.2500 0.6250  2 Hf 2.72
Br 0.6008 0.7500 0.6250  2 Hf 2.72
Br 0.7500 0.1008 0.8750  2 Hf 2.72
Br 0.7500 0.3992 0.3750  2 Hf 2.72
Br 0.8992 0.7500 0.1250  2 Hf 2.72

Computed properties:
magnetization = 0.25 μB/atom
N(E_F) = 7.8 states/eV/cell


Entry 2
First-principles (PBE-GGA) data for a relaxed HfPBr2 crystal, as listed in Alexandria.

abc: 6.7953 6.7953 6.7953
angles: 90.00 90.00 90.00
Last column: nearest neighbours and their distance in Å.
Atoms (fractional coordinates):
Hf 0.0000 0.0000 0.0000  8 Br 2.94
Hf 0.0000 0.5000 0.5000  8 Br 2.94
Hf 0.5000 0.0000 0.5000  8 Br 2.94
Hf 0.5000 0.5000 0.0000  8 Br 2.94
P 0.0000 0.0000 0.5000  8 Br 2.94
P 0.0000 0.5000 0.0000  8 Br 2.94
P 0.5000 0.0000 0.0000  8 Br 2.94
P 0.5000 0.5000 0.5000  8 Br 2.94
Br 0.2500 0.2500 0.2500  4 P 2.94, 4 Hf 2.94
Br 0.2500 0.2500 0.7500  4 Hf 2.94, 4 P 2.94
Br 0.2500 0.7500 0.2500  4 Hf 2.94, 4 P 2.94
Br 0.2500 0.7500 0.7500  4 Hf 2.94, 4 P 2.94
Br 0.7500 0.2500 0.2500  4 Hf 2.94, 4 P 2.94
Br 0.7500 0.2500 0.7500  4 Hf 2.94, 4 P 2.94
Br 0.7500 0.7500 0.2500  4 P 2.94, 4 Hf 2.94
Br 0.7500 0.7500 0.7500  4 Hf 2.94, 4 P 2.94

Computed properties:
magnetization = 0.00 μB/atom
N(E_F) = 12.6 states/eV/cell


Most stable structure, least stable structure: entry 1, entry 2.